Below is crystalline CaNiAg2 at its relaxed geometry, with properties calculated at the GGA-PBE level.

SG: P4/mmm (123)
Volume: 18.617 A^3/atom
Formation energy: 0.005 eV/atom

abc: 4.156 4.149 4.318
angles: 90.00 90.00 90.00
Fractional positions:
Ni  0.000  0.500  0.500
Ca  0.500  0.000  0.500
Ag  0.500  0.500  0.000
Ag  0.000  0.000  0.000

=====

Below is crystalline La2Pr3Ho at its relaxed geometry, with properties calculated at the GGA-PBE level.

ΔE to the lowest computed polymorph: 0.000 eV per atom
SG: Pnnm (58)
Volume: 35.307 A^3/atom
Formation energy: 0.052 eV/atom

abc: 5.846 10.121 7.161
angles: 90.00 90.00 90.00
Fractional positions:
La  0.500  0.832  0.252
Pr  0.500  0.832  0.750
Pr  0.000  0.332  0.750
La  0.000  0.332  0.248
Pr  0.500  0.500  0.500
Pr  0.500  0.168  0.250
Ho  0.500  0.500  0.000
Pr  0.000  0.000  0.000
La  0.000  0.668  0.752
Ho  0.000  0.000  0.500
La  0.500  0.168  0.748
Pr  0.000  0.668  0.250